(1)
DFT (GGA-PBE) results for crystalline La3TcPd at its relaxed geometry.

The value obtained for the distance to the lowest polymorph of the same formula is 0.000 eV per formula unit. The calculation puts the calculated total energy at -6.07 eV/atom. For the calculated formation energy, the calculation gives -0.006 eV per atom. For the density of states at the Fermi level, the calculation gives 0.9182 states/eV/atom.

It has space group Pm-3m (No. 221), with a = 5.404 Å, b = 5.404 Å, c = 5.404 Å, α = 90.00°, β = 90.00° and γ = 90.00°. Symmetry generates all atoms from La at (0.000, 0.000, 0.500), Tc at (0.000, 0.000, 0.000) and Pd at (0.500, 0.500, 0.500).

(2)
DFT (GGA-PBE) results for crystalline BaHgMo2 at its relaxed geometry.

The calculation puts the calculated total energy at -4.67 eV/atom. For the calculated formation energy, the calculation gives 1.305 eV per atom. For the density of states at the Fermi level, the calculation gives 1.2438 states/eV/atom.

It has space group Cmmm (No. 65), with a = 6.155 Å, b = 10.021 Å, c = 2.867 Å, α = 90.00°, β = 90.00° and γ = 90.00°. Symmetry generates all atoms from Ba at (0.000, 0.000, 0.000), Hg at (0.000, 0.500, 0.000) and Mo at (0.250, 0.250, 0.500).

(3)
DFT (GGA-PBE) results for crystalline TiNiI2 at its relaxed geometry.

The value obtained for the distance to the lowest polymorph of the same formula is 1.157 eV per formula unit. The calculation puts the calculated total energy at -3.79 eV/atom. For the density of states at the Fermi level, the calculation gives 1.9433 states/eV/atom. For the energy relative to the elements, uncorrected, the calculation gives 0.408 eV per atom.

It has space group Fm-3m (No. 225), with a = 6.932 Å, b = 6.932 Å, c = 6.932 Å, α = 90.00°, β = 90.00° and γ = 90.00°. Symmetry generates all atoms from Ti at (0.000, 0.000, 0.000), Ni at (0.000, 0.000, 0.500) and I at (0.250, 0.250, 0.250).

(4)
DFT (GGA-PBE) results for crystalline LiSmHo2 at its relaxed geometry.

The value obtained for the distance to the lowest polymorph of the same formula is 0.495 eV per formula unit. The calculation puts the calculated total energy at -3.75 eV/atom. For the calculated formation energy, the calculation gives 0.198 eV per atom. For the density of states at the Fermi level, the calculation gives 1.5230 states/eV/atom.

It has space group R-3m (No. 166, hexagonal axes), with a = 3.4670 Å, b = 3.4670 Å, c = 36.4825 Å, α = 90.00°, β = 90.00° and γ = 120.00°. Symmetry generates all atoms from Li at (0.0000, 0.0000, 0.0000), Sm at (0.0000, 0.0000, 0.5000) and Ho at (0.0000, 0.0000, 0.0882).

(5)
DFT (GGA-PBE) results for crystalline ZrCu4Rh at its relaxed geometry.

The calculation puts the calculated total energy at -5.66 eV/atom. For the calculated formation energy, the calculation gives -0.284 eV per atom. For the density of states at the Fermi level, the calculation gives 0.6043 states/eV/atom.

It has space group F-43m (No. 216), with a = 6.900 Å, b = 6.900 Å, c = 6.900 Å, α = 90.00°, β = 90.00° and γ = 90.00°. Symmetry generates all atoms from Zr at (0.000, 0.000, 0.000), Cu at (0.124, 0.124, 0.376) and Rh at (0.250, 0.250, 0.750).

(6)
DFT (GGA-PBE) results for crystalline RuClF3 at its relaxed geometry.

The value obtained for the distance to the lowest polymorph of the same formula is 0.000 eV per formula unit. The calculation puts the calculated total energy at -4.65 eV/atom. For the energy relative to the elements, uncorrected, the calculation gives -1.307 eV per atom.

It has space group P2_1/c (No. 14), with a = 8.122 Å, b = 5.128 Å, c = 11.831 Å, α = 90.00°, β = 131.56° and γ = 90.00°. Symmetry generates all atoms from Ru at (0.011, 0.061, 0.137), Cl at (0.359, 0.557, 0.806), F at (0.056, 0.236, 0.003), F at (0.063, 0.102, 0.745) and F at (0.291, 0.646, 0.511).

(7)
DFT (GGA-PBE) results for crystalline Pm5DyEr8 at its relaxed geometry.

The calculation puts the calculated total energy at -4.39 eV/atom. For the calculated formation energy, the calculation gives 0.242 eV per atom. For the density of states at the Fermi level, the calculation gives 1.3751 states/eV/atom.

It has space group I-4 (No. 82), with a = 9.567 Å, b = 9.567 Å, c = 10.043 Å, α = 90.00°, β = 90.00° and γ = 90.00°. Symmetry generates all atoms from Pm at (0.000, 0.000, 0.000), Pm at (0.111, 0.786, 0.420), Dy at (0.000, 0.500, 0.750), Er at (0.071, 0.674, 0.094) and Er at (0.088, 0.825, 0.752).

(8)
DFT (GGA-PBE) results for crystalline K4CePa3O12 at its relaxed geometry.

The calculation puts the calculated total energy at -7.88 eV/atom. For the density of states at the Fermi level, the calculation gives 0.7242 states/eV/atom. For the energy relative to the elements, uncorrected, the calculation gives -2.962 eV per atom.

It has space group Im-3m (No. 229), with a = 8.777 Å, b = 8.777 Å, c = 8.777 Å, α = 90.00°, β = 90.00° and γ = 90.00°. Symmetry generates all atoms from K at (0.250, 0.250, 0.250), Ce at (0.000, 0.000, 0.000), Pa at (0.000, 0.000, 0.500), O at (0.000, 0.000, 0.257) and O at (0.000, 0.250, 0.500).

(9)
DFT (GGA-PBE) results for crystalline LaHfAg at its relaxed geometry.

The value obtained for the distance to the lowest polymorph of the same formula is 0.305 eV per formula unit. The calculation puts the calculated total energy at -5.84 eV/atom. For the calculated formation energy, the calculation gives 0.067 eV per atom. For the density of states at the Fermi level, the calculation gives 0.7473 states/eV/atom.

It has space group Amm2 (No. 38), with a = 5.284 Å, b = 10.097 Å, c = 5.571 Å, α = 90.00°, β = 90.00° and γ = 90.00°. Symmetry generates all atoms from La at (0.000, 0.000, 0.000), La at (0.500, 0.000, 0.383), Hf at (0.000, 0.192, 0.561) and Ag at (0.500, 0.187, 0.852).

(10)
DFT (GGA-PBE) results for crystalline Nb3Mo2Rh at its relaxed geometry.

The calculation puts the calculated total energy at -10.08 eV/atom. For the calculated formation energy, the calculation gives -0.214 eV per atom. For the density of states at the Fermi level, the calculation gives 0.6947 states/eV/atom.

It has space group P4/mmm (No. 123), with a = 3.242 Å, b = 3.242 Å, c = 9.583 Å, α = 90.00°, β = 90.00° and γ = 90.00°. Symmetry generates all atoms from Nb at (0.000, 0.000, 0.000), Nb at (0.000, 0.000, 0.330), Mo at (0.500, 0.500, 0.171) and Rh at (0.500, 0.500, 0.500).